DFT (PBE) results for crystalline SrZr2Ta at its relaxed geometry.

Properties
crystal system	orthorhombic
energy above the lowest structure with this stoichiometry	294	meV per atom
total magnetization	0.00	Bohr magnetons per cell
formation energy	57.5	kJ/mol of atoms

Cell and atoms, written as CIF:
```
data_SrZr2Ta
_cell_length_a 3.1390
_cell_length_b 5.9194
_cell_length_c 11.1652
_cell_angle_alpha 90.00
_cell_angle_beta 90.00
_cell_angle_gamma 90.00
_symmetry_space_group_name_H-M 'I m m m'
_symmetry_Int_Tables_number 71
_symmetry_space_group_name_Hall '-I 2 2'
loop_
_atom_site_label
_atom_site_type_symbol
_atom_site_fract_x
_atom_site_fract_y
_atom_site_fract_z
Sr1 Sr 0.0000 0.0000 0.0000
Zr1 Zr 0.0000 0.5000 0.2157
Ta1 Ta 0.0000 0.0000 0.5000
```

***

DFT (PBE) results for crystalline SrZr2Ta at its relaxed geometry.

Properties
crystal system	cubic
energy above the lowest structure with this stoichiometry	376	meV per atom
total magnetization	0.00	Bohr magnetons per cell
formation energy	65.3	kJ/mol of atoms

Cell and atoms, written as CIF:
```
data_SrZr2Ta
_cell_length_a 7.2770
_cell_length_b 7.2770
_cell_length_c 7.2770
_cell_angle_alpha 90.00
_cell_angle_beta 90.00
_cell_angle_gamma 90.00
_symmetry_space_group_name_H-M 'F m -3 m'
_symmetry_Int_Tables_number 225
_symmetry_space_group_name_Hall '-F 4 2 3'
loop_
_atom_site_label
_atom_site_type_symbol
_atom_site_fract_x
_atom_site_fract_y
_atom_site_fract_z
Sr1 Sr 0.0000 0.0000 0.0000
Zr1 Zr 0.2500 0.2500 0.2500
Ta1 Ta 0.0000 0.0000 0.5000
```

***

DFT (PBE) results for crystalline SrZr2Ta at its relaxed geometry.

Properties
crystal system	tetragonal
energy above the lowest structure with this stoichiometry	135	meV per atom
total magnetization	0.00	Bohr magnetons per cell
formation energy	42.1	kJ/mol of atoms

Cell and atoms, written as CIF:
```
data_SrZr2Ta
_cell_length_a 3.7016
_cell_length_b 3.7016
_cell_length_c 7.9088
_cell_angle_alpha 90.00
_cell_angle_beta 90.00
_cell_angle_gamma 90.00
_symmetry_space_group_name_H-M 'P 4 m m'
_symmetry_Int_Tables_number 99
loop_
_symmetry_equiv_pos_as_xyz
'x,y,z'
'-y,x,z'
'-x,-y,z'
'y,-x,z'
'-x,y,z'
'y,x,z'
'x,-y,z'
'-y,-x,z'
loop_
_atom_site_label
_atom_site_type_symbol
_atom_site_fract_x
_atom_site_fract_y
_atom_site_fract_z
Sr1 Sr 0.0000 0.0000 0.0000
Zr1 Zr 0.0000 0.0000 0.4473
Zr2 Zr 0.5000 0.5000 0.6566
Ta1 Ta 0.5000 0.5000 0.2970
```

***

no.,density of states at the Fermi level (states/eV/atom)
1,1.5633
2,1.5623
3,1.2832